[1]
! NiSb2Cl PBE optimized geometry; values from VASP
! * E above lowest polymorph: 1.38 eV/f.u.
! * E_form (uncorrected): 17 kJ/mol of formula units
! * total energy: -3.92 eV per atom
&SYSTEM
  ibrav = 0, nat = 8, ntyp = 3
/
ATOMIC_SPECIES
Sb 121.76 Sb.upf
Ni 58.69 Ni.upf
Cl 35.45 Cl.upf
CELL_PARAMETERS angstrom
-2.385 -5.697 0.989
1.707 -1.716 -5.768
4.894 -5.533 -0.297
ATOMIC_POSITIONS angstrom
Sb 2.191 -2.693 -3.638
Ni 1.085 -7.469 -0.849
Cl -0.339 -3.707 -2.389
Ni 0.000 0.000 0.000
Sb -0.252 -5.633 -0.095
Sb 3.274 -6.787 -1.535
Sb 3.220 -10.779 -4.885
Cl 3.131 -5.478 -4.227

---

[2]
! CaPa2BiO8 PBE optimized geometry; values from VASP
! * E_form (uncorrected): -3326 kJ/mol of formula units
! * total energy: -8.25 eV per atom
&SYSTEM
  ibrav = 0, nat = 12, ntyp = 4
/
ATOMIC_SPECIES
O 16.00 O.upf
Pa 231.04 Pa.upf
Ca 40.08 Ca.upf
Bi 208.98 Bi.upf
CELL_PARAMETERS angstrom
5.143 0.016 -0.003
0.060 5.147 -0.006
0.004 0.008 7.183
ATOMIC_POSITIONS angstrom
O 1.653 1.643 7.180
O 1.105 4.094 1.709
O 4.103 1.077 5.465
Pa 2.605 2.587 5.362
O 3.524 3.499 3.585
O 3.555 3.528 -0.006
Ca 0.002 0.004 3.591
Bi 0.000 0.000 0.000
Pa 2.603 2.583 1.811
O 1.684 1.672 3.589
O 4.101 1.073 1.711
O 1.107 4.098 5.463

---

[3]
! Tb5Pm4Y4 PBE optimized geometry; values from VASP
! * total energy: -5.22 eV per atom
! * formation enthalpy at 0 K: 0.0160 eV per atom
&SYSTEM
  ibrav = 0, nat = 13, ntyp = 3
/
ATOMIC_SPECIES
Tb 158.93 Tb.upf
Y 88.91 Y.upf
Pm 145.00 Pm.upf
CELL_PARAMETERS angstrom
-2.796 3.439 -2.450
-7.198 -4.876 -3.863
-6.380 3.070 6.355
ATOMIC_POSITIONS angstrom
Tb -8.026 -1.443 -3.333
Y -5.399 1.015 -2.882
Y -4.915 2.048 3.249
Pm -6.052 -1.423 -0.325
Pm -10.322 3.055 0.367
Pm -6.869 2.040 0.234
Tb -12.955 0.606 -0.067
Pm -9.506 -0.408 -0.192
Tb -8.349 3.074 3.374
Y -11.460 -0.416 -3.208
Y -10.976 0.617 2.923
Tb -3.419 1.026 0.109
Tb 0.000 0.000 0.000

---

[4]
! YAlAu4 PBE optimized geometry; values from VASP
! * E above lowest polymorph: 0.00 eV/f.u.
! * total energy: -4.42 eV per atom
! * formation enthalpy at 0 K: -0.5333 eV per atom
&SYSTEM
  ibrav = 0, nat = 12, ntyp = 3
/
ATOMIC_SPECIES
Y 88.91 Y.upf
Au 196.97 Au.upf
Al 26.98 Al.upf
CELL_PARAMETERS angstrom
-1.462 2.628 5.621
3.477 -0.812 5.281
4.257 6.072 0.413
ATOMIC_POSITIONS angstrom
Y 5.031 6.366 8.684
Au 2.241 0.049 5.366
Al 4.058 5.323 5.094
Au 3.834 5.242 2.651
Y 1.241 1.522 2.631
Au -0.226 1.768 5.536
Au 1.434 4.301 4.482
Al 2.214 2.565 6.221
Au 3.945 2.552 4.309
Au 2.439 2.646 8.664
Au 4.839 3.587 6.833
Au 2.328 5.336 7.006

---

[5]
! Tb7Pr2Dy3 PBE optimized geometry; values from VASP
! * E above lowest polymorph: 0.44 eV/f.u.
! * total energy: -4.54 eV per atom
! * formation enthalpy at 0 K: 0.1119 eV per atom
&SYSTEM
  ibrav = 0, nat = 12, ntyp = 3
/
ATOMIC_SPECIES
Dy 162.50 Dy.upf
Tb 158.93 Tb.upf
Pr 140.91 Pr.upf
CELL_PARAMETERS angstrom
-1.065 -1.309 -3.207
-0.034 -5.294 2.173
-18.183 4.870 4.050
ATOMIC_POSITIONS angstrom
Dy -11.955 0.741 1.620
Dy -0.549 -3.302 -0.517
Tb -16.173 -1.393 3.892
Tb 0.000 0.000 0.000
Tb -3.108 -0.340 -0.876
Tb -8.397 1.026 2.370
Tb -9.820 -1.450 3.853
Tb -14.951 1.826 4.219
Dy -7.326 -2.474 1.396
Tb -3.266 -2.250 2.003
Pr -5.364 0.655 1.514
Pr -12.853 -1.079 4.709

---

[6]
! BaSrNbPt2 PBE optimized geometry; values from VASP
! * total energy: -5.01 eV per atom
! * formation enthalpy at 0 K: 0.1409 eV per atom
&SYSTEM
  ibrav = 0, nat = 5, ntyp = 4
/
ATOMIC_SPECIES
Sr 87.62 Sr.upf
Pt 195.08 Pt.upf
Ba 137.33 Ba.upf
Nb 92.91 Nb.upf
CELL_PARAMETERS angstrom
-4.638 -1.996 -0.881
1.797 -4.863 1.561
-1.367 1.045 4.828
ATOMIC_POSITIONS angstrom
Sr 0.898 -2.431 0.781
Pt -0.683 0.523 2.414
Ba -2.104 -2.907 2.755
Nb 0.000 0.000 0.000
Pt -2.319 -0.998 -0.440

---

[7]
! Pt2AuSe PBE optimized geometry; values from VASP
! * E_form (uncorrected): 35 kJ/mol of formula units
! * total energy: -4.62 eV per atom
&SYSTEM
  ibrav = 0, nat = 4, ntyp = 3
/
ATOMIC_SPECIES
Au 196.97 Au.upf
Se 78.96 Se.upf
Pt 195.08 Pt.upf
CELL_PARAMETERS angstrom
-1.943 -1.252 3.558
-1.285 -2.090 -1.437
4.416 -3.522 1.173
ATOMIC_POSITIONS angstrom
Au 1.377 -4.835 1.581
Se -0.189 -2.029 1.713
Pt 4.082 -4.033 0.810
Pt 1.901 -2.294 0.231

---

[8]
! BaLa3Ru PBE optimized geometry; values from VASP
! * E above lowest polymorph: 0.12 eV/f.u.
! * total energy: -5.32 eV per atom
! * formation enthalpy at 0 K: -0.1220 eV per atom
&SYSTEM
  ibrav = 0, nat = 10, ntyp = 3
/
ATOMIC_SPECIES
La 138.91 La.upf
Ba 137.33 Ba.upf
Ru 101.07 Ru.upf
CELL_PARAMETERS angstrom
-7.092 2.507 -5.293
5.590 -0.919 -8.786
-2.230 -3.367 -0.151
ATOMIC_POSITIONS angstrom
La 0.364 -2.943 -4.666
La -2.610 -1.089 -1.527
La -2.898 -0.581 -9.302
La -0.460 -2.085 -11.825
La -0.086 -2.500 -8.253
Ba -1.237 0.576 -5.551
La -2.101 1.453 -12.335
Ru 2.367 -1.780 -6.188
Ba -5.567 1.076 -6.522
Ru -0.105 0.031 -10.133

---

[9]
! K2Ba2Sr PBE optimized geometry; values from VASP
! * E above lowest polymorph: 0.20 eV/f.u.
! * total energy: -1.31 eV per atom
! * formation enthalpy at 0 K: 0.2307 eV per atom
&SYSTEM
  ibrav = 0, nat = 5, ntyp = 3
/
ATOMIC_SPECIES
Sr 87.62 Sr.upf
Ba 137.33 Ba.upf
K 39.10 K.upf
CELL_PARAMETERS angstrom
-2.501 -3.981 5.236
4.125 -4.818 3.047
2.790 6.228 6.061
ATOMIC_POSITIONS angstrom
Sr 0.000 0.000 0.000
Ba 0.882 -2.171 3.501
K 2.332 1.058 6.652
Ba 3.532 -0.400 10.843
K 2.083 -3.630 7.693

---

[10]
! NaGaSb2 PBE optimized geometry; values from VASP
! * E_form (uncorrected): -55 kJ/mol of formula units
! * total energy: -3.29 eV per atom
&SYSTEM
  ibrav = 0, nat = 8, ntyp = 3
/
ATOMIC_SPECIES
Sb 121.76 Sb.upf
Ga 69.72 Ga.upf
Na 22.99 Na.upf
CELL_PARAMETERS angstrom
-2.936 -7.635 0.028
1.265 -0.457 8.069
-3.796 -2.906 4.577
ATOMIC_POSITIONS angstrom
Sb -3.534 -5.192 6.086
Ga 0.000 0.000 0.000
Na -1.683 -3.705 8.348
Sb -0.386 -1.604 6.190
Sb -2.765 -5.918 2.172
Ga -3.784 -7.294 4.327
Sb -4.249 -9.282 10.901
Na -0.836 -4.046 4.049

---

[11]
! LiYb2Cd PBE optimized geometry; values from VASP
! * total energy: -1.66 eV per atom
! * formation enthalpy at 0 K: -0.1900 eV per atom
&SYSTEM
  ibrav = 0, nat = 4, ntyp = 3
/
ATOMIC_SPECIES
Yb 173.04 Yb.upf
Cd 112.41 Cd.upf
Li 6.94 Li.upf
CELL_PARAMETERS angstrom
-2.980 -3.085 -3.323
2.398 -2.799 -3.982
0.325 -5.408 0.299
ATOMIC_POSITIONS angstrom
Yb -2.980 -3.085 -3.323
Cd -0.064 -2.823 -1.752
Li -0.193 -8.469 -5.255
Yb -0.129 -5.646 -3.503

---

[12]
! UMnCoIr PBE optimized geometry; values from VASP
! * total energy: -9.17 eV per atom
! * formation enthalpy at 0 K: -0.0614 eV per atom
&SYSTEM
  ibrav = 0, nat = 4, ntyp = 4
/
ATOMIC_SPECIES
U 238.03 U.upf
Ir 192.22 Ir.upf
Mn 54.94 Mn.upf
Co 58.93 Co.upf
CELL_PARAMETERS angstrom
-2.242 -3.910 0.355
1.821 -3.805 -1.627
1.467 -3.198 2.840
ATOMIC_POSITIONS angstrom
U 0.784 -8.185 1.176
Ir 0.523 -5.457 0.784
Mn 0.261 -2.728 0.392
Co 0.000 0.000 0.000

---

[13]
! GaHgH PBE optimized geometry; values from VASP
! * E above lowest polymorph: 0.08 eV/f.u.
! * total energy: -2.06 eV per atom
&SYSTEM
  ibrav = 0, nat = 6, ntyp = 3
/
ATOMIC_SPECIES
Ga 69.72 Ga.upf
H 1.01 H.upf
Hg 200.59 Hg.upf
CELL_PARAMETERS angstrom
6.089 0.806 0.421
3.751 4.881 0.056
4.139 0.028 4.628
ATOMIC_POSITIONS angstrom
Ga 3.138 1.599 1.160
H 7.005 3.193 4.528
H 3.108 0.234 2.660
Hg 5.736 2.191 1.603
Ga 7.574 3.681 3.068
Hg 9.912 4.792 4.084

---

[14]
! K2ZrAs PBE optimized geometry; values from VASP
! * total energy: -3.79 eV per atom
! * formation enthalpy at 0 K: 0.0630 eV per atom
&SYSTEM
  ibrav = 0, nat = 4, ntyp = 3
/
ATOMIC_SPECIES
As 74.92 As.upf
K 39.10 K.upf
Zr 91.22 Zr.upf
CELL_PARAMETERS angstrom
-2.350 -2.982 -6.215
-1.078 -7.195 -0.334
-1.706 6.403 3.021
ATOMIC_POSITIONS angstrom
As -2.364 -3.281 -0.513
K -0.199 -0.590 -0.380
K -2.860 -0.760 -3.186
Zr -1.425 -4.232 -2.723

---

[15]
! Mg2CuRh PBE optimized geometry; values from VASP
! * total energy: -3.79 eV per atom
! * formation enthalpy at 0 K: -0.1265 eV per atom
&SYSTEM
  ibrav = 0, nat = 4, ntyp = 3
/
ATOMIC_SPECIES
Mg 24.30 Mg.upf
Cu 63.55 Cu.upf
Rh 102.91 Rh.upf
CELL_PARAMETERS angstrom
8.758 0.017 0.010
8.262 2.905 0.010
8.262 1.419 2.535
ATOMIC_POSITIONS angstrom
Mg 12.707 2.182 1.284
Cu 18.962 3.256 1.917
Rh 6.321 1.085 0.639
Mg 25.217 4.330 2.549

---

[16]
! CsB2P PBE optimized geometry; values from VASP
! * total energy: -4.04 eV per atom
! * formation enthalpy at 0 K: 0.8627 eV per atom
&SYSTEM
  ibrav = 0, nat = 8, ntyp = 3
/
ATOMIC_SPECIES
P 30.97 P.upf
B 10.81 B.upf
Cs 132.91 Cs.upf
CELL_PARAMETERS angstrom
-1.856 3.400 -3.226
-4.673 -1.606 0.996
-3.676 4.781 3.216
ATOMIC_POSITIONS angstrom
P -3.265 0.897 -1.115
B -4.536 1.467 0.217
Cs 0.000 0.000 0.000
Cs -4.398 4.539 -0.562
B -2.199 2.270 -0.281
B -7.302 5.557 0.212
B -6.374 3.857 1.825
P -5.807 2.036 1.549

---

[17]
! RbPtBr2Cl PBE optimized geometry; values from VASP
! * E_form (uncorrected): -391 kJ/mol of formula units
! * total energy: -3.25 eV per atom
&SYSTEM
  ibrav = 0, nat = 5, ntyp = 4
/
ATOMIC_SPECIES
Br 79.90 Br.upf
Pt 195.08 Pt.upf
Rb 85.47 Rb.upf
Cl 35.45 Cl.upf
CELL_PARAMETERS angstrom
-0.337 0.651 5.249
-3.699 -3.789 0.232
3.556 -3.431 0.654
ATOMIC_POSITIONS angstrom
Br -1.849 -1.895 0.116
Pt 0.000 0.000 0.000
Br -0.169 0.326 2.625
Rb -0.240 -3.285 3.068
Cl 1.778 -1.716 0.327